1.
VASP calculation (PBE) on a geometry-optimized SrVS2N structure.

Output
volume	27.89	Å³ per atom
formation energy (no corrections)	1.08	eV per atom
energy relative to the lowest polymorph listed for this composition	2.0357	eV/atom
raw total energy	-0.162	hartree per atom
N(E_F)	1.51	states/eV per atom
SG	P4/mmm

a b c (Å): 5.5221 5.5221 4.5725
angles (deg): 90.00 90.00 90.00
Last column: nearest neighbours and their distance in Å.
Fractional positions:
Sr: 0.0000 0.0000 0.0000  2 N 2.29
N: 0.0000 0.0000 0.5000  2 Sr 2.29
S: 0.0000 0.5000 0.0000  2 Sr 2.76
V: 0.5000 0.5000 0.5000  8 S 3.58, 4 N 3.90
S: 0.5000 0.0000 0.0000  2 Sr 2.76

2.
VASP calculation (PBE) on a geometry-optimized SrVS2N structure.

Output
volume	17.67	Å³ per atom
formation energy (no corrections)	-0.96	eV per atom
energy relative to the lowest polymorph listed for this composition	0.0000	eV/atom
raw total energy	-0.236	hartree per atom
N(E_F)	0.52	states/eV per atom
SG	P4/mmm

a b c (Å): 4.8611 4.8611 3.7387
angles (deg): 90.00 90.00 90.00
Last column: nearest neighbours and their distance in Å.
Fractional positions:
S: 0.5000 0.0000 0.0000  2 V 2.43
N: 0.0000 0.0000 0.5000  2 V 1.87
Sr: 0.5000 0.5000 0.5000  8 S 3.07
S: 0.0000 0.5000 0.0000  2 V 2.43
V: 0.0000 0.0000 0.0000  2 N 1.87

Q: Among the records above, which one has the highest volume?
A: number 1